Entry from the Open Quantum Materials Database: an optimized crystal structure of TaNiPtPb (PBE-GGA).

Cell lengths 6.4977, 6.4977, 6.4977 Å; angles 90.00, 90.00, 90.00 degrees
Last column: nearest neighbours and their distance in Å.
Space group F-43m (No. 216)
Symmetry-distinct sites (fractional):
1 Ta 0.0000 0.0000 0.0000 x4  4 Pb 2.81, 4 Pt 2.81
2 Ni 0.0000 0.0000 0.5000 x4  4 Pb 2.81, 4 Pt 2.81
3 Pt 0.2500 0.2500 0.7500 x4  4 Ta 2.81, 4 Ni 2.81
4 Pb 0.2500 0.2500 0.2500 x4  4 Ta 2.81, 4 Ni 2.81

Results
total magnetic moment	0.010	Bohr magnetons per cell
excess energy over the best structure of this formula in the dataset	3.57	kJ/mol of atoms